[1]
CaOsRu2: relaxed, PBE.

Output
- Calculated total energy: -7.26 eV per atom
- Distance to the lowest polymorph of the same formula: 333.3 meV per atom

CIF file:
```
data_CaOsRu2
_cell_length_a 6.3764
_cell_length_b 6.3764
_cell_length_c 6.3764
_cell_angle_alpha 90.00
_cell_angle_beta 90.00
_cell_angle_gamma 90.00
_symmetry_space_group_name_H-M 'F -4 3 m'
_symmetry_Int_Tables_number 216
_symmetry_space_group_name_Hall 'F -4 2 3'
loop_
_atom_site_label
_atom_site_type_symbol
_atom_site_fract_x
_atom_site_fract_y
_atom_site_fract_z
_atom_site_occupancy
Ca1 Ca 0.0000 0.0000 0.0000 1
Os1 Os 0.2500 0.2500 0.7500 1
Ru1 Ru 0.0000 0.0000 0.5000 1
Ru2 Ru 0.2500 0.2500 0.2500 1
```

=====

[2]
CaOsRu2: relaxed, PBE.

Output
- Calculated total energy: -7.43 eV per atom
- Distance to the lowest polymorph of the same formula: 165.0 meV per atom

CIF file:
```
data_CaOsRu2
_cell_length_a 5.9074
_cell_length_b 7.7731
_cell_length_c 2.7753
_cell_angle_alpha 90.00
_cell_angle_beta 90.00
_cell_angle_gamma 90.00
_symmetry_space_group_name_H-M 'C m m m'
_symmetry_Int_Tables_number 65
_symmetry_space_group_name_Hall '-C 2 2'
loop_
_atom_site_label
_atom_site_type_symbol
_atom_site_fract_x
_atom_site_fract_y
_atom_site_fract_z
_atom_site_occupancy
Ca1 Ca 0.0000 0.0000 0.0000 1
Os1 Os 0.0000 0.5000 0.0000 1
Ru1 Ru 0.2500 0.2500 0.5000 1
```

=====

[3]
CaOsRu2: relaxed, PBE.

Output
- Calculated total energy: -7.29 eV per atom
- Distance to the lowest polymorph of the same formula: 299.1 meV per atom

CIF file:
```
data_CaOsRu2
_cell_length_a 2.9387
_cell_length_b 4.6059
_cell_length_c 4.7508
_cell_angle_alpha 90.00
_cell_angle_beta 90.00
_cell_angle_gamma 90.00
_symmetry_space_group_name_H-M 'P m m m'
_symmetry_Int_Tables_number 47
_symmetry_space_group_name_Hall '-P 2 2'
loop_
_atom_site_label
_atom_site_type_symbol
_atom_site_fract_x
_atom_site_fract_y
_atom_site_fract_z
_atom_site_occupancy
Ca1 Ca 0.0000 0.0000 0.0000 1
Os1 Os 0.5000 0.0000 0.5000 1
Ru1 Ru 0.0000 0.5000 0.5000 1
Ru2 Ru 0.5000 0.5000 0.0000 1
```